1.
VASP calculation (PBE) on a relaxed structure of Pr3NdDy3Te8.

Cell lengths 8.876, 8.876, 8.876 Å; angles 59.73, 59.73, 59.73 degrees
Fractional coordinates of all 15 atoms:
1 Pr 0.000 0.500 0.500
2 Pr 0.500 0.000 0.500
3 Pr 0.500 0.500 0.000
4 Nd 0.500 0.500 0.500
5 Dy 0.000 0.000 0.500
6 Dy 0.000 0.500 0.000
7 Dy 0.500 0.000 0.000
8 Te 0.233 0.758 0.758
9 Te 0.242 0.242 0.767
10 Te 0.242 0.767 0.242
11 Te 0.245 0.245 0.245
12 Te 0.755 0.755 0.755
13 Te 0.758 0.233 0.758
14 Te 0.758 0.758 0.233
15 Te 0.767 0.242 0.242

- DFT total energy (eV/atom) = -5.2936
- formation energy from raw total energies (eV per atom) = -1.4238
- space-group type = R-3m



2.
VASP calculation (PBE) on a relaxed structure of Ac3Hg2Te.

Cell lengths 5.708, 17.369, 4.045 Å; angles 90.00, 90.00, 90.00 degrees
Fractional coordinates of all 12 atoms:
1 Ac 0.250 0.085 0.000
2 Ac 0.250 0.415 0.000
3 Ac 0.250 0.750 0.001
4 Ac 0.750 0.250 0.999
5 Ac 0.750 0.585 0.000
6 Ac 0.750 0.915 0.000
7 Hg 0.250 0.576 0.500
8 Hg 0.250 0.924 0.500
9 Hg 0.750 0.076 0.500
10 Hg 0.750 0.424 0.500
11 Te 0.250 0.250 0.499
12 Te 0.750 0.750 0.501

- DFT total energy (eV/atom) = -3.4118
- formation energy from raw total energies (eV per atom) = -0.7333
- space-group type = Pmmn



3.
VASP calculation (PBE) on a relaxed structure of Y2HfP.

Cell lengths 6.623, 6.623, 6.623 Å; angles 100.02, 100.02, 130.69 degrees
Fractional coordinates of all 8 atoms:
1 Y 0.057 0.125 0.432
2 Y 0.375 0.943 0.068
3 Y 0.693 0.625 0.568
4 Y 0.875 0.307 0.932
5 Hf 0.250 0.750 0.500
6 Hf 0.500 0.500 0.000
7 P 0.000 0.000 0.000
8 P 0.750 0.250 0.500

- DFT total energy (eV/atom) = -7.2512
- space-group type = I-42d